VASP calculation (PBE) on crystalline La3MnGa at its relaxed geometry.

```
La3MnGa
1.0
5.202 0.000 0.000
0.000 5.202 0.000
0.000 0.000 5.202
La Mn Ga
3 1 1
Cartesian
0.000 0.000 2.601
0.000 2.601 0.000
2.601 0.000 0.000
0.000 0.000 0.000
2.601 2.601 2.601
```

Values from the calculation:
Space-group type   Pm-3m

VASP calculation (PBE) on crystalline La2MnGa at its relaxed geometry.

```
La2MnGa
1.0
-4.078 4.078 3.108
4.078 -4.078 3.108
4.078 4.078 -3.108
La Mn Ga
4 2 2
Cartesian
6.117 1.726 -0.777
1.726 2.039 0.777
-2.039 2.352 2.331
2.352 2.039 3.886
0.000 0.000 0.000
0.000 4.078 1.554
4.078 0.000 1.554
0.000 0.000 3.108
```

Values from the calculation:
Space-group type   I-42d

VASP calculation (PBE) on crystalline La2MnGa12 at its relaxed geometry.

```
La2MnGa12
1.0
6.120 0.000 0.000
0.000 6.120 0.000
0.000 0.000 15.856
La Mn Ga
4 2 24
Cartesian
1.530 4.590 3.908
1.530 4.590 11.948
4.590 1.530 3.908
4.590 1.530 11.948
1.530 4.590 0.000
4.590 1.530 0.000
0.001 6.119 1.400
6.119 0.001 14.456
6.119 3.059 1.400
0.001 3.061 14.456
0.485 3.545 6.851
0.485 5.636 9.005
1.530 1.530 2.993
1.530 1.530 5.494
1.530 1.530 10.362
1.530 1.530 12.863
2.575 3.545 9.005
2.575 5.636 6.851
3.061 0.001 1.400
3.059 6.119 14.456
3.059 3.061 1.400
3.061 3.059 14.456
3.545 0.485 9.005
3.545 2.575 6.851
4.590 4.590 2.993
4.590 4.590 5.494
4.590 4.590 10.362
4.590 4.590 12.863
5.636 0.485 6.851
5.636 2.575 9.005
```

Values from the calculation:
Space-group type   P4/nbm

VASP calculation (PBE) on crystalline La2MnGa5 at its relaxed geometry.

```
La2MnGa5
1.0
-3.141 3.141 4.601
3.141 -3.141 4.601
3.141 3.141 -4.601
La Mn Ga
2 1 5
Cartesian
3.141 0.000 0.000
0.000 3.141 0.000
0.000 0.000 2.288
1.805 1.805 2.311
1.336 -1.336 6.912
-1.336 1.336 6.912
1.336 1.336 6.912
0.000 0.000 8.925
```

Values from the calculation:
Space-group type   I4mm

VASP calculation (PBE) on crystalline La2MnGa at its relaxed geometry.

```
La2MnGa
1.0
1.691 0.976 11.290
-1.691 0.976 11.290
0.000 -1.953 11.290
La Mn Ga
2 1 1
Cartesian
0.000 0.000 3.184
0.000 0.000 30.687
0.000 0.000 16.936
0.000 0.000 0.000
```

Values from the calculation:
Space-group type   R-3m

VASP calculation (PBE) on crystalline LaMn2Ga at its relaxed geometry.

```
LaMn2Ga
1.0
-2.240 2.240 8.826
2.240 -2.240 8.826
2.240 2.240 -8.826
La Mn Ga
2 4 2
Cartesian
0.000 0.000 0.000
0.000 2.240 4.413
1.120 -0.022 6.619
2.218 1.120 2.206
1.120 2.262 -2.206
0.022 1.120 11.032
2.240 0.000 4.413
0.000 0.000 8.826
```

Values from the calculation:
Space-group type   I-42d

Computed energy (eV/atom) in order:
-5.428 -5.282 -4.046 -4.677 -5.109 -6.290
Computed DOS at the Fermi energy (states/eV/f.u.) in order:
5.6 5.3 4.4 4.8 4.7 4.6